(1)
Y2PdBr | PBE-GGA | optimized geometry

```
Y2PdBr
1.0
2.026 1.170 7.763
-2.026 1.170 7.763
0.000 -2.339 7.763
Y Pd Br
2 1 1
direct
0.000 0.000 0.000 Y
0.201 0.201 0.201 Y
0.601 0.601 0.601 Pd
0.771 0.771 0.771 Br
```

total moment: 0.00 μB per atom
formation energy without anion corrections: -0.954 eV per atom
space-group type: R3m, No. 160
distance to the lowest polymorph of the same formula: 0.00 eV/f.u.

(2)
Na2Pd2RhO6 | PBE-GGA | optimized geometry

```
Na2Pd2RhO6
1.0
2.793 -4.637 0.000
2.793 4.637 0.000
-1.895 0.000 5.377
Na Pd Rh O
2 2 1 6
direct
0.170 0.830 0.000 Na
0.830 0.170 0.000 Na
0.336 0.664 0.500 Pd
0.664 0.336 0.500 Pd
0.000 0.000 0.500 Rh
0.052 0.390 0.692 O
0.256 0.256 0.309 O
0.390 0.052 0.692 O
0.610 0.948 0.308 O
0.744 0.744 0.691 O
0.948 0.610 0.308 O
```

total moment: 0.09 μB per atom
formation energy without anion corrections: -0.840 eV per atom
space-group type: C2/m, No. 12

(3)
ScZnAu2 | PBE-GGA | optimized geometry

```
ScZnAu2
1.0
1.811 1.045 7.148
-1.811 1.045 7.148
0.000 -2.091 7.148
Sc Zn Au
1 1 2
direct
0.000 0.000 0.000 Sc
0.167 0.167 0.167 Zn
0.421 0.421 0.421 Au
0.579 0.579 0.579 Au
```

total moment: 0.00 μB per atom
space-group type: R3m, No. 160
ΔH_f (0 K): -39 kJ/mol of atoms

(4)
TlP3 | PBE-GGA | optimized geometry

```
TlP3
1.0
4.647 0.000 0.000
0.000 4.647 0.000
0.000 0.000 3.442
Tl P
1 3
direct
0.000 0.000 0.000 Tl
0.000 0.500 0.500 P
0.500 0.000 0.500 P
0.500 0.500 0.000 P
```

total moment: 0.00 μB per atom
space-group type: P4/mmm, No. 123
ΔH_f (0 K): 83 kJ/mol of atoms

(5)
Mg2InSe | PBE-GGA | optimized geometry

```
Mg2InSe
1.0
4.239 0.000 0.000
0.000 3.725 0.000
-1.554 0.000 6.343
Mg In Se
2 1 1
direct
0.123 0.000 0.240 Mg
0.877 0.000 0.760 Mg
0.500 0.500 0.000 In
0.000 0.500 0.500 Se
```

total moment: 0.00 μB per atom
formation energy without anion corrections: -0.378 eV per atom
space-group type: P2/m, No. 10
distance to the lowest polymorph of the same formula: 0.72 eV/f.u.

(6)
Be3HgF | PBE-GGA | optimized geometry

```
Be3HgF
1.0
3.866 0.000 0.000
0.000 3.866 0.000
0.000 0.000 3.866
Be Hg F
3 1 1
direct
0.000 0.000 0.500 Be
0.000 0.500 0.000 Be
0.500 0.000 0.000 Be
0.500 0.500 0.500 Hg
0.000 0.000 0.000 F
```

total moment: 0.00 μB per atom
formation energy without anion corrections: 0.147 eV per atom
space-group type: Pm-3m, No. 221
distance to the lowest polymorph of the same formula: 0.00 eV/f.u.

(7)
Li4SeCl | PBE-GGA | optimized geometry

```
Li4SeCl
1.0
0.000 3.753 3.753
3.753 0.000 3.753
3.753 3.753 0.000
Li Se Cl
4 1 1
direct
0.125 0.125 0.125 Li
0.125 0.125 0.624 Li
0.125 0.624 0.125 Li
0.624 0.125 0.125 Li
0.750 0.750 0.750 Se
0.500 0.500 0.500 Cl
```

total moment: 0.17 μB per atom
formation energy without anion corrections: -0.463 eV per atom
space-group type: F-43m, No. 216

(8)
K2SrCr | PBE-GGA | optimized geometry

```
K2SrCr
1.0
0.000 4.503 4.503
4.503 0.000 4.503
4.503 4.503 0.000
K Sr Cr
2 1 1
direct
0.000 0.000 0.000 K
0.250 0.250 0.250 K
0.500 0.500 0.500 Sr
0.750 0.750 0.750 Cr
```

total moment: 1.29 μB per atom
space-group type: F-43m, No. 216
distance to the lowest polymorph of the same formula: 0.44 eV/f.u.
ΔH_f (0 K): 62 kJ/mol of atoms

| no. | N(E_F) (states/eV/cell) |
| --- | --- |
| 1 | 4.53 |
| 2 | 4.11 |
| 3 | 2.22 |
| 4 | 3.23 |
| 5 | 1.26 |
| 6 | 1.52 |
| 7 | 2.44 |
| 8 | 3.01 |